(1)
Compound: Ga2Tc2Pd
Source: the Alexandria database
Functional: GGA-PBE
Structure: relaxed

* spin magnetization: 0.0 μB/cell
* polymorph energy (0 for the lowest one): 24 meV/atom
* E_tot: -6.369 eV per atom

Geometry as POSCAR:
```
Ga2Tc2Pd
1.0
7.379 0.000 0.000
0.000 7.379 0.000
0.000 0.000 2.885
Ga Tc Pd
4 4 2
Cartesian
1.350 5.039 1.442
5.039 6.029 1.442
6.029 2.340 1.442
2.340 1.350 1.442
2.855 6.545 0.000
6.545 4.524 0.000
4.524 0.834 0.000
0.834 2.855 0.000
0.000 0.000 0.000
3.689 3.689 0.000
```

***

(2)
Compound: Ga2TcPd
Source: the Alexandria database
Functional: GGA-PBE
Structure: relaxed

* spin magnetization: 0.0 μB/cell
* polymorph energy (0 for the lowest one): 73 meV/atom
* E_tot: -5.723 eV per atom

Geometry as POSCAR:
```
Ga2TcPd
1.0
0.000 3.074 3.074
3.074 0.000 3.074
3.074 3.074 0.000
Ga Tc Pd
2 1 1
Cartesian
1.537 1.537 1.537
4.610 4.610 4.610
0.000 0.000 0.000
3.074 3.074 3.074
```

***

(3)
Compound: Ga2TcPd
Source: the Alexandria database
Functional: GGA-PBE
Structure: relaxed

* spin magnetization: 0.0 μB/cell
* polymorph energy (0 for the lowest one): 64 meV/atom
* E_tot: -5.732 eV per atom

Geometry as POSCAR:
```
Ga2TcPd
1.0
-0.058 -1.715 2.580
-0.881 -2.465 -1.658
5.851 -1.506 -0.869
Ga Tc Pd
2 1 1
Cartesian
4.459 -1.148 -0.663
1.392 -0.358 -0.207
-0.470 -2.090 0.461
2.456 -2.843 0.026
```

***

(4)
Compound: Ga6TcPd
Source: the Alexandria database
Functional: GGA-PBE
Structure: relaxed

* spin magnetization: 0.0 μB/cell
* E_tot: -4.234 eV per atom

Geometry as POSCAR:
```
Ga6TcPd
1.0
0.587 2.735 4.330
-0.324 -4.391 2.680
5.658 -1.576 3.685
Ga Tc Pd
6 1 1
Cartesian
1.681 -3.517 3.955
2.251 0.944 4.987
3.670 -4.176 5.708
4.240 0.284 6.740
5.412 -2.104 6.102
0.509 -1.128 4.593
0.000 0.000 0.000
2.960 -1.616 5.348
```